Entry 1:
First-principles (PBE) data for a relaxed structure of MgAsPb2, as listed in Alexandria via LeMat-Bulk.

Unit cell a=5.306 b=5.306 c=5.306 alpha=60.00 beta=60.00 gamma=60.00
Element x y z (fractional)
Mg  0.000  0.000  0.000
As  0.500  0.500  0.500
Pb  0.250  0.250  0.250
Pb  0.750  0.750  0.750

Computed properties:
Energy relative to the elements, eV per atom: 0.119
Energy relative to the lowest polymorph listed for this composition, meV per atom: 228
Calculated total energy, eV/cell: -13.2
SG: Fm-3m (225)
ρ, g/cm³: 8.07

Entry 2:
First-principles (PBE) data for a relaxed structure of Na10LiTl4, as listed in Alexandria via LeMat-Bulk.

Unit cell a=9.265 b=9.265 c=9.265 alpha=99.57 beta=99.57 gamma=131.87
Element x y z (fractional)
Na  0.045  0.147  0.697
Na  0.147  0.450  0.102
Na  0.250  0.750  0.500
Na  0.348  0.045  0.898
Na  0.450  0.348  0.303
Na  0.550  0.652  0.697
Na  0.652  0.955  0.102
Na  0.750  0.250  0.500
Na  0.853  0.550  0.898
Na  0.955  0.853  0.303
Li  0.500  0.500  0.000
Tl  0.101  0.299  0.399
Tl  0.299  0.899  0.198
Tl  0.701  0.101  0.802
Tl  0.899  0.701  0.601

Computed properties:
Energy relative to the elements, eV per atom: 0.075
Calculated total energy, eV/cell: -23.4
SG: I4/m (87)
ρ, g/cm³: 3.24

Entry 3:
First-principles (PBE) data for a relaxed structure of Cs8RbHgO2, as listed in Alexandria via LeMat-Bulk.

Unit cell a=9.495 b=9.495 c=12.958 alpha=110.98 beta=110.98 gamma=59.64
Element x y z (fractional)
Cs  0.092  0.553  0.231
Cs  0.095  0.095  0.231
Cs  0.345  0.345  0.531
Cs  0.447  0.908  0.769
Cs  0.553  0.092  0.231
Cs  0.655  0.655  0.469
Cs  0.905  0.905  0.769
Cs  0.908  0.447  0.769
Rb  0.500  0.500  0.000
Hg  0.000  0.000  0.500
O  0.271  0.271  0.305
O  0.729  0.729  0.695

Computed properties:
Calculated total energy, eV/cell: -24.5
SG: C2/m (12)
ρ, g/cm³: 2.50

Entry 4:
First-principles (PBE) data for a relaxed structure of LiScSn2Mo, as listed in Alexandria via LeMat-Bulk.

Unit cell a=5.490 b=5.490 c=4.826 alpha=90.00 beta=90.00 gamma=90.00
Element x y z (fractional)
Li  0.000  0.000  0.000
Sc  0.500  0.500  0.500
Sn  0.000  0.500  0.500
Sn  0.500  0.000  0.500
Mo  0.500  0.500  0.000

Computed properties:
Energy relative to the elements, eV per atom: 0.820
Calculated total energy, eV/cell: -23.0
SG: P4/mmm (123)
ρ, g/cm³: 4.40

Entry 5:
First-principles (PBE) data for a relaxed structure of Tb2Pr3Dy6Tl, as listed in Alexandria via LeMat-Bulk.

Unit cell a=6.175 b=6.175 c=11.747 alpha=95.06 beta=95.06 gamma=120.04
Element x y z (fractional)
Tb  0.166  0.834  0.000
Tb  0.834  0.166  0.000
Pr  0.000  0.000  0.500
Pr  0.333  0.667  0.500
Pr  0.667  0.333  0.500
Dy  0.092  0.420  0.757
Dy  0.253  0.253  0.244
Dy  0.420  0.092  0.757
Dy  0.580  0.908  0.243
Dy  0.747  0.747  0.756
Dy  0.908  0.580  0.243
Tl  0.500  0.500  0.000

Computed properties:
Energy relative to the elements, eV per atom: -0.013
Calculated total energy, eV/cell: -53.7
SG: C2/m (12)
ρ, g/cm³: 8.35

Entry 6:
First-principles (PBE) data for a relaxed structure of YHo3Fe, as listed in Alexandria via LeMat-Bulk.

Unit cell a=5.242 b=5.242 c=5.242 alpha=90.00 beta=90.00 gamma=90.00
Element x y z (fractional)
Y  0.000  0.000  0.000
Ho  0.000  0.500  0.500
Ho  0.500  0.000  0.500
Ho  0.500  0.500  0.000
Fe  0.500  0.500  0.500

Computed properties:
Energy relative to the elements, eV per atom: 0.104
Energy relative to the lowest polymorph listed for this composition, meV per atom: 83
Calculated total energy, eV/cell: -28.1
SG: Pm-3m (221)
ρ, g/cm³: 7.37

Entry 7:
First-principles (PBE) data for a relaxed structure of Na2Be2GaAu5, as listed in Alexandria via LeMat-Bulk.

Unit cell a=10.777 b=10.777 c=2.953 alpha=90.00 beta=90.00 gamma=90.00
Element x y z (fractional)
Na  0.176  0.324  0.000
Na  0.324  0.824  0.000
Na  0.676  0.176  0.000
Na  0.824  0.676  0.000
Be  0.126  0.626  0.000
Be  0.374  0.126  0.000
Be  0.626  0.874  0.000
Be  0.874  0.374  0.000
Ga  0.000  0.000  0.000
Ga  0.500  0.500  0.000
Au  0.000  0.500  0.500
Au  0.066  0.792  0.500
Au  0.208  0.066  0.500
Au  0.292  0.566  0.500
Au  0.434  0.292  0.500
Au  0.500  0.000  0.500
Au  0.566  0.708  0.500
Au  0.708  0.434  0.500
Au  0.792  0.934  0.500
Au  0.934  0.208  0.500

Computed properties:
Energy relative to the elements, eV per atom: -0.285
Calculated total energy, eV/cell: -64.7
SG: P4/mbm (127)
ρ, g/cm³: 10.83

Entry 8:
First-principles (PBE) data for a relaxed structure of Pm2Cd2Cu15, as listed in Alexandria via LeMat-Bulk.

Unit cell a=6.636 b=6.636 c=6.636 alpha=83.03 beta=83.03 gamma=83.03
Element x y z (fractional)
Pm  0.148  0.148  0.148
Pm  0.852  0.852  0.852
Cd  0.394  0.394  0.394
Cd  0.606  0.606  0.606
Cu  0.000  0.500  0.500
Cu  0.151  0.151  0.660
Cu  0.151  0.660  0.151
Cu  0.197  0.500  0.803
Cu  0.197  0.803  0.500
Cu  0.340  0.849  0.849
Cu  0.500  0.000  0.500
Cu  0.500  0.197  0.803
Cu  0.500  0.500  0.000
Cu  0.500  0.803  0.197
Cu  0.660  0.151  0.151
Cu  0.803  0.197  0.500
Cu  0.803  0.500  0.197
Cu  0.849  0.340  0.849
Cu  0.849  0.849  0.340

Computed properties:
Energy relative to the elements, eV per atom: -0.090
Calculated total energy, eV/cell: -74.5
SG: R-3m (166)
ρ, g/cm³: 8.52